## La2Zn6Pd9 (PBE)

Data for crystalline La2Zn6Pd9 at its relaxed geometry.

```
La2Zn6Pd9
1.0
5.624 0.000 0.000
-2.812 4.871 0.000
0.000 0.000 12.016
La Zn Pd
2 6 9
Direct
0.000 0.000 0.202
0.000 0.000 0.798
0.333 0.667 0.164
0.333 0.667 0.500
0.333 0.667 0.836
0.667 0.333 0.164
0.667 0.333 0.500
0.667 0.333 0.836
0.000 0.500 0.000
0.000 0.500 0.331
0.000 0.500 0.669
0.500 0.000 0.000
0.500 0.000 0.331
0.500 0.000 0.669
0.500 0.500 0.000
0.500 0.500 0.331
0.500 0.500 0.669
```

Calculated values
E	-73.8	eV for the cell shown
E_form	-0.5625	eV per atom
density	8.21	g/cm³

=====

## La2ZnPd5 (PBE)

Data for crystalline La2ZnPd5 at its relaxed geometry.

```
La2ZnPd5
1.0
6.282 0.000 0.000
0.000 6.282 0.000
0.000 0.000 8.251
La Zn Pd
4 2 10
Direct
0.000 0.500 0.000
0.000 0.500 0.500
0.500 0.000 0.000
0.500 0.000 0.500
0.000 0.000 0.310
0.500 0.500 0.810
0.000 0.000 0.996
0.223 0.223 0.744
0.223 0.777 0.744
0.277 0.277 0.244
0.277 0.723 0.244
0.500 0.500 0.496
0.723 0.277 0.244
0.723 0.723 0.244
0.777 0.223 0.744
0.777 0.777 0.744
```

Calculated values
E	-85.6	eV for the cell shown
E_form	-0.7141	eV per atom
density	8.93	g/cm³

=====

## LaZn2Pd (PBE)

Data for crystalline LaZn2Pd at its relaxed geometry.

```
LaZn2Pd
1.0
4.511 0.000 0.000
0.000 4.511 0.000
0.000 0.000 18.667
La Zn Pd
4 8 4
Direct
0.000 0.000 0.000
0.000 0.500 0.250
0.500 0.000 0.750
0.500 0.500 0.500
0.072 0.250 0.625
0.250 0.572 0.875
0.250 0.928 0.375
0.428 0.250 0.125
0.572 0.750 0.125
0.750 0.072 0.375
0.750 0.428 0.875
0.928 0.750 0.625
0.000 0.000 0.500
0.000 0.500 0.750
0.500 0.000 0.250
0.500 0.500 0.000
```

Calculated values
E	-55.4	eV for the cell shown
E_form	-0.2931	eV per atom
density	6.58	g/cm³

=====

## LaZnPd6 (PBE)

Data for crystalline LaZnPd6 at its relaxed geometry.

```
LaZnPd6
1.0
2.756 1.591 6.547
-2.756 1.591 6.547
0.000 -3.182 6.547
La Zn Pd
1 1 6
Direct
0.000 0.000 0.000
0.500 0.500 0.500
0.063 0.573 0.573
0.427 0.427 0.937
0.427 0.937 0.427
0.573 0.063 0.573
0.573 0.573 0.063
0.937 0.427 0.427
```

Calculated values
energy relative to the lowest polymorph listed for this composition	0.3413	eV/atom
E	-38.9	eV for the cell shown
E_form	-0.1884	eV per atom
density	8.13	g/cm³